# 1
DFT (GGA-PBE) results for a geometry-optimized K2PdAu2 structure.

Output
Energy relative to the elements = -0.0415 eV/atom
Relative energy among the computed polymorphs = 194 meV per atom
Calculated density = 6.096 Mg/m³
E_tot = -2.8300 eV/atom

```
data_K2PdAu2
_space_group_name_H-M_alt 'I 41/a m d'
_space_group_IT_number 141
_cell_length_a 4.7645
_cell_length_b 4.7645
_cell_length_c 27.7706
_cell_angle_alpha 90.00
_cell_angle_beta 90.00
_cell_angle_gamma 90.00
loop_
_space_group_symop_operation_xyz
'x,y,z'
'-x,-y,-z'
'-y+1/4,x+3/4,z+1/4'
'y+1/4,-x+3/4,-z+1/4'
'-x+1/2,-y,z+1/2'
'x+1/2,y,-z+1/2'
'y+1/4,-x+1/4,z+3/4'
'-y+1/4,x+1/4,-z+3/4'
'x,-y,-z'
'-x,y,z'
'-y+1/4,-x+1/4,-z+3/4'
'y+1/4,x+1/4,z+3/4'
'-x+1/2,y,-z+1/2'
'x+1/2,-y,z+1/2'
'y+1/4,x+3/4,-z+1/4'
'-y+1/4,-x+3/4,z+1/4'
'x+1/2,y+1/2,z+1/2'
'-x+1/2,-y+1/2,-z+1/2'
'-y+3/4,x+1/4,z+3/4'
'y+3/4,-x+1/4,-z+3/4'
'-x,-y+1/2,z'
'x,y+1/2,-z'
'y+3/4,-x+3/4,z+1/4'
'-y+3/4,x+3/4,-z+1/4'
'x+1/2,-y+1/2,-z+1/2'
'-x+1/2,y+1/2,z+1/2'
'-y+3/4,-x+3/4,-z+1/4'
'y+3/4,x+3/4,z+1/4'
'-x,y+1/2,-z'
'x,-y+1/2,z'
'y+3/4,x+1/4,-z+3/4'
'-y+3/4,-x+1/4,z+3/4'
loop_
_atom_site_label
_atom_site_type_symbol
_atom_site_fract_x
_atom_site_fract_y
_atom_site_fract_z
K1 K 0.0000 0.2500 0.0499
Pd1 Pd 0.0000 0.2500 0.3750
Au1 Au 0.0000 0.2500 0.1725
```

# 2
DFT (GGA-PBE) results for a geometry-optimized Li3Cu4As4 structure.

Output
Energy relative to the elements = -0.3065 eV/atom
Calculated density = 5.449 Mg/m³
E_tot = -4.0087 eV/atom

```
data_Li3Cu4As4
_space_group_name_H-M_alt 'I m m m'
_space_group_IT_number 71
_space_group_name_Hall '-I 2 2'
_cell_length_a 4.0292
_cell_length_b 6.6402
_cell_length_c 13.0916
_cell_angle_alpha 90.00
_cell_angle_beta 90.00
_cell_angle_gamma 90.00
loop_
_atom_site_label
_atom_site_type_symbol
_atom_site_fract_x
_atom_site_fract_y
_atom_site_fract_z
Li1 Li 0.0000 0.0000 0.0000
Li2 Li 0.0000 0.5000 0.1196
Cu1 Cu 0.0000 0.3053 0.3263
As1 As 0.0000 0.0000 0.2220
As2 As 0.0000 0.1855 0.5000
```